[1]
VASP calculation (PBE-GGA) on MgBeMo2 after structural relaxation.

Calculated values
DOS(E_F)   0.43 states/eV/atom
Formation energy   0.334 eV per atom
E above lowest polymorph   137 meV per atom

Cell and atoms, written as CIF:
```
data_MgBeMo2
_chemical_formula_sum 'Mg2 Be2 Mo4'
_space_group_name_H-M_alt 'C 1 2/m 1'
_space_group_IT_number 12
_cell_length_a 5.265
_cell_length_b 8.657
_cell_length_c 2.658
_cell_angle_alpha 90.00
_cell_angle_beta 100.54
_cell_angle_gamma 90.00
loop_
_space_group_symop_operation_xyz
'x,y,z'
'-x,-y,-z'
'-x,y,-z'
'x,-y,z'
'x+1/2,y+1/2,z'
'-x+1/2,-y+1/2,-z'
'-x+1/2,y+1/2,-z'
'x+1/2,-y+1/2,z'
loop_
_atom_site_label
_atom_site_fract_x
_atom_site_fract_y
_atom_site_fract_z
Mg1 0.000 0.000 0.000
Be1 0.000 0.500 0.000
Mo1 0.250 0.250 0.500
```

***

[2]
VASP calculation (PBE-GGA) on BaHfGa after structural relaxation.

Calculated values
DOS(E_F)   0.75 states/eV/atom
Formation energy   -0.160 eV per atom
E above lowest polymorph   50 meV per atom

Cell and atoms, written as CIF:
```
data_BaHfGa
_chemical_formula_sum 'Ba2 Hf2 Ga2'
_space_group_name_H-M_alt 'P 4/n m m'
_space_group_IT_number 129
_cell_length_a 4.760
_cell_length_b 4.760
_cell_length_c 8.029
_cell_angle_alpha 90.00
_cell_angle_beta 90.00
_cell_angle_gamma 90.00
loop_
_space_group_symop_operation_xyz
'x,y,z'
'-x,-y,-z'
'-y+1/2,x,z'
'y+1/2,-x,-z'
'-x+1/2,-y+1/2,z'
'x+1/2,y+1/2,-z'
'y,-x+1/2,z'
'-y,x+1/2,-z'
'x+1/2,-y,-z'
'-x+1/2,y,z'
'-y,-x,-z'
'y,x,z'
'-x,y+1/2,-z'
'x,-y+1/2,z'
'y+1/2,x+1/2,-z'
'-y+1/2,-x+1/2,z'
loop_
_atom_site_label
_atom_site_fract_x
_atom_site_fract_y
_atom_site_fract_z
Ba1 0.250 0.250 0.151
Hf1 0.250 0.750 0.500
Ga1 0.250 0.250 0.686
```

***

[3]
VASP calculation (PBE-GGA) on Li3SmU2S6 after structural relaxation.

Calculated values
DOS(E_F)   0.69 states/eV/atom
Energy relative to the elements, uncorrected   -17.96 eV per formula unit

Cell and atoms, written as CIF:
```
data_Li3SmU2S6
_chemical_formula_sum 'Li6 Sm2 U4 S12'
_space_group_name_H-M_alt 'C 1 2/m 1'
_space_group_IT_number 12
_cell_length_a 6.780
_cell_length_b 11.747
_cell_length_c 6.639
_cell_angle_alpha 90.00
_cell_angle_beta 109.94
_cell_angle_gamma 90.00
loop_
_space_group_symop_operation_xyz
'x,y,z'
'-x,-y,-z'
'-x,y,-z'
'x,-y,z'
'x+1/2,y+1/2,z'
'-x+1/2,-y+1/2,-z'
'-x+1/2,y+1/2,-z'
'x+1/2,-y+1/2,z'
loop_
_atom_site_label
_atom_site_fract_x
_atom_site_fract_y
_atom_site_fract_z
Li1 0.000 0.000 0.000
Li2 0.000 0.334 0.000
Sm1 0.000 0.500 0.500
U1 0.000 0.166 0.500
S1 0.244 0.170 0.244
S2 0.246 0.000 0.758
```

***

[4]
VASP calculation (PBE-GGA) on Al2PbBr after structural relaxation.

Calculated values
DOS(E_F)   0.42 states/eV/atom
Energy relative to the elements, uncorrected   0.37 eV per formula unit
E above lowest polymorph   176 meV per atom

Cell and atoms, written as CIF:
```
data_Al2PbBr
_chemical_formula_sum 'Al2 Pb1 Br1'
_space_group_name_H-M_alt 'P 1 m 1'
_space_group_IT_number 6
_cell_length_a 3.336
_cell_length_b 5.184
_cell_length_c 6.038
_cell_angle_alpha 90.00
_cell_angle_beta 104.56
_cell_angle_gamma 90.00
loop_
_space_group_symop_operation_xyz
'x,y,z'
'x,-y,z'
loop_
_atom_site_label
_atom_site_fract_x
_atom_site_fract_y
_atom_site_fract_z
Al1 0.000 0.000 0.000
Al2 0.435 0.500 0.003
Pb1 0.719 0.500 0.547
Br1 0.164 0.000 0.436
```

***

[5]
VASP calculation (PBE-GGA) on Ho2Co5Ni5 after structural relaxation.

Calculated values
DOS(E_F)   1.59 states/eV/atom
Formation energy   -0.183 eV per atom
E above lowest polymorph   36 meV per atom

Cell and atoms, written as CIF:
```
data_Ho2Co5Ni5
_chemical_formula_sum 'Ho2 Co5 Ni5'
_space_group_name_H-M_alt 'P m m m'
_space_group_IT_number 47
_cell_length_a 3.957
_cell_length_b 4.906
_cell_length_c 8.433
_cell_angle_alpha 90.00
_cell_angle_beta 90.00
_cell_angle_gamma 90.00
loop_
_space_group_symop_operation_xyz
'x,y,z'
'-x,-y,-z'
'-x,-y,z'
'x,y,-z'
'x,-y,-z'
'-x,y,z'
'-x,y,-z'
'x,-y,z'
loop_
_atom_site_label
_atom_site_fract_x
_atom_site_fract_y
_atom_site_fract_z
Ho1 0.000 0.000 0.000
Ho2 0.000 0.500 0.500
Co1 0.000 0.000 0.334
Co2 0.000 0.500 0.160
Co3 0.500 0.500 0.000
Ni1 0.500 0.000 0.500
Ni2 0.500 0.250 0.250
```

***

[6]
VASP calculation (PBE-GGA) on Ga3Rh13 after structural relaxation.

Calculated values
DOS(E_F)   1.35 states/eV/atom
Formation energy   -0.178 eV per atom

Cell and atoms, written as CIF:
```
data_Ga3Rh13
_chemical_formula_sum 'Ga6 Rh26'
_space_group_name_H-M_alt 'A m m 2'
_space_group_IT_number 38
_cell_length_a 5.503
_cell_length_b 8.710
_cell_length_c 9.520
_cell_angle_alpha 90.00
_cell_angle_beta 90.00
_cell_angle_gamma 90.00
loop_
_space_group_symop_operation_xyz
'x,y,z'
'-x,-y,z'
'-x,y,z'
'x,-y,z'
'x,y+1/2,z+1/2'
'-x,-y+1/2,z+1/2'
'-x,y+1/2,z+1/2'
'x,-y+1/2,z+1/2'
loop_
_atom_site_label
_atom_site_fract_x
_atom_site_fract_y
_atom_site_fract_z
Ga1 0.000 0.000 0.000
Ga2 0.254 0.000 0.725
Rh1 0.000 0.000 0.475
Rh2 0.000 0.241 0.650
Rh3 0.249 0.241 0.899
Rh4 0.252 0.000 0.234
Rh5 0.500 0.000 0.481
Rh6 0.500 0.000 0.989
Rh7 0.500 0.247 0.650
```

***

[7]
VASP calculation (PBE-GGA) on Tb3DyTl4 after structural relaxation.

Calculated values
DOS(E_F)   0.91 states/eV/atom
Formation energy   -0.223 eV per atom
E above lowest polymorph   132 meV per atom

Cell and atoms, written as CIF:
```
data_Tb3DyTl4
_chemical_formula_sum 'Tb6 Dy2 Tl8'
_space_group_name_H-M_alt 'P m n 21'
_space_group_IT_number 31
_cell_length_a 10.034
_cell_length_b 6.713
_cell_length_c 6.657
_cell_angle_alpha 90.00
_cell_angle_beta 90.00
_cell_angle_gamma 90.00
loop_
_space_group_symop_operation_xyz
'x,y,z'
'-x+1/2,-y,z+1/2'
'-x,y,z'
'x+1/2,-y,z+1/2'
loop_
_atom_site_label
_atom_site_fract_x
_atom_site_fract_y
_atom_site_fract_z
Tb1 0.000 0.001 0.000
Tb2 0.250 0.250 0.251
Dy1 0.000 0.501 0.001
Tl1 0.000 0.000 0.500
Tl2 0.000 0.500 0.501
Tl3 0.250 0.250 0.751
```

***

[8]
VASP calculation (PBE-GGA) on DyEr2TmSc4 after structural relaxation.

Calculated values
DOS(E_F)   2.11 states/eV/atom
Formation energy   0.455 eV per atom

Cell and atoms, written as CIF:
```
data_DyEr2TmSc4
_chemical_formula_sum 'Dy4 Er8 Tm4 Sc16'
_space_group_name_H-M_alt 'C 1 2/c 1'
_space_group_IT_number 15
_cell_length_a 12.948
_cell_length_b 12.623
_cell_length_c 6.487
_cell_angle_alpha 90.00
_cell_angle_beta 120.06
_cell_angle_gamma 90.00
loop_
_space_group_symop_operation_xyz
'x,y,z'
'-x,-y,-z'
'-x,y,-z+1/2'
'x,-y,z+1/2'
'x+1/2,y+1/2,z'
'-x+1/2,-y+1/2,-z'
'-x+1/2,y+1/2,-z+1/2'
'x+1/2,-y+1/2,z+1/2'
loop_
_atom_site_label
_atom_site_fract_x
_atom_site_fract_y
_atom_site_fract_z
Dy1 0.000 0.000 0.000
Er1 0.000 0.500 0.000
Er2 0.250 0.250 0.000
Tm1 0.250 0.250 0.500
Sc1 0.000 0.251 0.000
Sc2 0.249 0.499 0.496
```

***

[9]
VASP calculation (PBE-GGA) on Pr3AgN after structural relaxation.

Calculated values
DOS(E_F)   1.03 states/eV/atom
Energy relative to the elements, uncorrected   -2.70 eV per formula unit
E above lowest polymorph   72 meV per atom

Cell and atoms, written as CIF:
```
data_Pr3AgN
_chemical_formula_sum 'Pr12 Ag4 N4'
_space_group_name_H-M_alt 'P 1 21/c 1'
_space_group_IT_number 14
_cell_length_a 9.019
_cell_length_b 6.463
_cell_length_c 9.644
_cell_angle_alpha 90.00
_cell_angle_beta 115.41
_cell_angle_gamma 90.00
loop_
_space_group_symop_operation_xyz
'x,y,z'
'-x,-y,-z'
'-x,y+1/2,-z+1/2'
'x,-y+1/2,z+1/2'
loop_
_atom_site_label
_atom_site_fract_x
_atom_site_fract_y
_atom_site_fract_z
Pr1 0.067 0.079 0.358
Pr2 0.195 0.589 0.548
Pr3 0.348 0.121 0.762
Ag1 0.411 0.661 0.907
N1 0.076 0.247 0.102
```

***

[10]
VASP calculation (PBE-GGA) on UTaTcRu after structural relaxation.

Calculated values
DOS(E_F)   1.64 states/eV/atom
Formation energy   -0.124 eV per atom

Cell and atoms, written as CIF:
```
data_UTaTcRu
_chemical_formula_sum 'U4 Ta4 Tc4 Ru4'
_space_group_name_H-M_alt 'F -4 3 m'
_space_group_IT_number 216
_space_group_name_Hall 'F -4 2 3'
_cell_length_a 6.559
_cell_length_b 6.559
_cell_length_c 6.559
_cell_angle_alpha 90.00
_cell_angle_beta 90.00
_cell_angle_gamma 90.00
loop_
_atom_site_label
_atom_site_fract_x
_atom_site_fract_y
_atom_site_fract_z
U1 0.000 0.000 0.000
Ta1 0.000 0.000 0.500
Tc1 0.250 0.250 0.250
Ru1 0.250 0.250 0.750
```

***

Copy entry 9 word for word.
VASP calculation (PBE-GGA) on Pr3AgN after structural relaxation.

Calculated values
DOS(E_F)   1.03 states/eV/atom
Energy relative to the elements, uncorrected   -2.70 eV per formula unit
E above lowest polymorph   72 meV per atom

Cell and atoms, written as CIF:
```
data_Pr3AgN
_chemical_formula_sum 'Pr12 Ag4 N4'
_space_group_name_H-M_alt 'P 1 21/c 1'
_space_group_IT_number 14
_cell_length_a 9.019
_cell_length_b 6.463
_cell_length_c 9.644
_cell_angle_alpha 90.00
_cell_angle_beta 115.41
_cell_angle_gamma 90.00
loop_
_space_group_symop_operation_xyz
'x,y,z'
'-x,-y,-z'
'-x,y+1/2,-z+1/2'
'x,-y+1/2,z+1/2'
loop_
_atom_site_label
_atom_site_fract_x
_atom_site_fract_y
_atom_site_fract_z
Pr1 0.067 0.079 0.358
Pr2 0.195 0.589 0.548
Pr3 0.348 0.121 0.762
Ag1 0.411 0.661 0.907
N1 0.076 0.247 0.102
```

***

Copy entry 2 word for word.
VASP calculation (PBE-GGA) on BaHfGa after structural relaxation.

Calculated values
DOS(E_F)   0.75 states/eV/atom
Formation energy   -0.160 eV per atom
E above lowest polymorph   50 meV per atom

Cell and atoms, written as CIF:
```
data_BaHfGa
_chemical_formula_sum 'Ba2 Hf2 Ga2'
_space_group_name_H-M_alt 'P 4/n m m'
_space_group_IT_number 129
_cell_length_a 4.760
_cell_length_b 4.760
_cell_length_c 8.029
_cell_angle_alpha 90.00
_cell_angle_beta 90.00
_cell_angle_gamma 90.00
loop_
_space_group_symop_operation_xyz
'x,y,z'
'-x,-y,-z'
'-y+1/2,x,z'
'y+1/2,-x,-z'
'-x+1/2,-y+1/2,z'
'x+1/2,y+1/2,-z'
'y,-x+1/2,z'
'-y,x+1/2,-z'
'x+1/2,-y,-z'
'-x+1/2,y,z'
'-y,-x,-z'
'y,x,z'
'-x,y+1/2,-z'
'x,-y+1/2,z'
'y+1/2,x+1/2,-z'
'-y+1/2,-x+1/2,z'
loop_
_atom_site_label
_atom_site_fract_x
_atom_site_fract_y
_atom_site_fract_z
Ba1 0.250 0.250 0.151
Hf1 0.250 0.750 0.500
Ga1 0.250 0.250 0.686
```